# Mg2ZnCu5Ge2

Crystalline Mg2ZnCu5Ge2 at its relaxed geometry (PBE, Alexandria).

Calculated values
formation enthalpy at 0 K: 0.007 eV per formula unit
crystal system: tetragonal

a = 9.0808 Å, b = 9.0808 Å, c = 3.6927 Å
α = 90.00°, β = 90.00°, γ = 90.00°
Last column: nearest neighbours and their distance in Å.
Space group P4/mbm (No. 127)
Inequivalent atoms, fractional coordinates:
Mg 0.1719 0.3281 0.0000 (multiplicity 4)  3 Ge 2.58-2.75, 2 Cu 2.88
Zn 0.0000 0.0000 0.0000 (multiplicity 2)  8 Cu 2.62
Cu 0.0000 0.5000 0.5000 (multiplicity 2)  4 Ge 2.47
Cu 0.0553 0.8029 0.5000 (multiplicity 8)  2 Ge 2.53, 2 Zn 2.62, 3 Cu 2.63-2.80
Ge 0.1274 0.6274 0.0000 (multiplicity 4)  6 Cu 2.47-2.53, 3 Mg 2.58-2.75



# CrPb2Se

Crystalline CrPb2Se at its relaxed geometry (PBE, Alexandria).

Calculated values
calculated total energy: -5.16 eV per atom
crystal system: trigonal

a = 3.4908 Å, b = 3.4908 Å, c = 29.4096 Å
α = 90.00°, β = 90.00°, γ = 120.00°
Last column: nearest neighbours and their distance in Å.
Space group R3m (No. 160, hexagonal axes)
Inequivalent atoms, fractional coordinates:
Cr 0.0000 0.0000 0.0000 (multiplicity 3)  3 Se 2.41
Pb 0.0000 0.0000 0.2542 (multiplicity 3)  3 Cr 3.08
Pb 0.0000 0.0000 0.4863 (multiplicity 3)  9 Pb 3.49-3.60, 3 Se 3.76
Se 0.0000 0.0000 0.7115 (multiplicity 3)  3 Cr 2.41